Record 1
VASP calculation (PBE) on an optimized crystal structure of Tm2TlIn4. Values from VASP.

The structure in Quantum ESPRESSO input format:
```
&SYSTEM
  ibrav = 0, nat = 7, ntyp = 3
/
ATOMIC_SPECIES
In 114.82 In.upf
Tm 168.93 Tm.upf
Tl 204.38 Tl.upf
CELL_PARAMETERS angstrom
-1.8465 4.8821 -3.6400
2.2668 -3.0084 -5.1289
-4.3989 -3.0018 3.7561
ATOMIC_POSITIONS crystal
In 0.7859 0.7859 0.0717
In 0.7856 0.2857 0.0714
In 0.2856 0.2856 0.0712
In 0.2857 0.7856 0.0714
Tm 0.7856 0.2858 0.5714
Tm 0.2858 0.7856 0.5714
Tl 0.7857 0.7857 0.5715
```

Computed properties:
electronic total energy	-3.386	eV/atom
crystal system	monoclinic
ΔH_f (0 K)	-0.206	eV/atom

Record 2
VASP calculation (PBE) on an optimized crystal structure of Tm7Tl4In. Values from VASP.

The structure in Quantum ESPRESSO input format:
```
&SYSTEM
  ibrav = 0, nat = 12, ntyp = 3
/
ATOMIC_SPECIES
Tm 168.93 Tm.upf
Tl 204.38 Tl.upf
In 114.82 In.upf
CELL_PARAMETERS angstrom
5.6691 0.0000 0.0000
2.8346 8.7983 0.0217
2.8346 0.3845 7.1381
ATOMIC_POSITIONS crystal
Tm 0.5000 0.0000 0.0000
Tm 0.2138 0.1262 0.4462
Tm 0.3427 0.5870 0.7277
Tm 0.0713 0.6756 0.1819
Tm 0.7862 0.8738 0.5538
Tm 0.6573 0.4130 0.2723
Tm 0.9287 0.3244 0.8181
Tl 0.7116 0.6614 0.9154
Tl 0.4310 0.7753 0.3626
Tl 0.5690 0.2247 0.6374
Tl 0.2884 0.3386 0.0846
In 0.0000 0.0000 0.0000
```

Computed properties:
electronic total energy	-3.658	eV/atom
crystal system	monoclinic
ΔH_f (0 K)	-0.033	eV/atom

Record 3
VASP calculation (PBE) on an optimized crystal structure of Tm7Tl2In2. Values from VASP.

The structure in Quantum ESPRESSO input format:
```
&SYSTEM
  ibrav = 0, nat = 11, ntyp = 3
/
ATOMIC_SPECIES
In 114.82 In.upf
Tm 168.93 Tm.upf
Tl 204.38 Tl.upf
CELL_PARAMETERS angstrom
6.7503 -0.0025 -0.8892
0.0036 7.6378 0.0032
-1.3080 -0.0025 6.6818
ATOMIC_POSITIONS crystal
In 0.1778 0.5000 0.1778
In 0.8222 0.5000 0.8222
Tm 0.5003 0.7134 0.9998
Tm 0.0000 0.0000 0.0000
Tm 0.0002 0.7134 0.4997
Tm 0.9998 0.2866 0.5003
Tm 0.4997 0.2866 0.0002
Tm 0.5002 0.7319 0.4998
Tm 0.4998 0.2681 0.5002
Tl 0.7064 0.0000 0.2936
Tl 0.2936 0.0000 0.7064
```

Computed properties:
electronic total energy	-3.786	eV/atom
crystal system	orthorhombic
ΔH_f (0 K)	-0.012	eV/atom

Record 4
VASP calculation (PBE) on an optimized crystal structure of Tm4Tl5In. Values from VASP.

The structure in Quantum ESPRESSO input format:
```
&SYSTEM
  ibrav = 0, nat = 20, ntyp = 3
/
ATOMIC_SPECIES
Tl 204.38 Tl.upf
Tm 168.93 Tm.upf
In 114.82 In.upf
CELL_PARAMETERS angstrom
-4.0808 1.8429 6.2567
-3.0884 -9.7010 0.8430
5.9537 -1.5191 4.3306
ATOMIC_POSITIONS crystal
Tl 0.8131 0.3044 0.7014
Tl 0.8131 0.6956 0.7014
Tl 0.1118 0.0000 0.5000
Tl 0.1869 0.8044 0.7986
Tl 0.8882 0.5000 0.0000
Tl 0.1869 0.1956 0.7986
Tl 0.1869 0.1956 0.2014
Tl 0.8131 0.6956 0.2986
Tl 0.1869 0.8044 0.2014
Tl 0.8131 0.3044 0.2986
Tm 0.7939 0.0000 0.2543
Tm 0.5174 0.3172 0.0000
Tm 0.4826 0.8172 0.5000
Tm 0.4826 0.1828 0.5000
Tm 0.5174 0.6828 0.0000
Tm 0.7939 0.0000 0.7457
Tm 0.2061 0.5000 0.7543
Tm 0.2061 0.5000 0.2457
In 0.5305 0.5000 0.5000
In 0.4695 0.0000 0.0000
```

Computed properties:
electronic total energy	-3.257	eV/atom
crystal system	orthorhombic
ΔH_f (0 K)	-0.011	eV/atom

Record 5
VASP calculation (PBE) on an optimized crystal structure of Tm6TlIn. Values from VASP.

The structure in Quantum ESPRESSO input format:
```
&SYSTEM
  ibrav = 0, nat = 8, ntyp = 3
/
ATOMIC_SPECIES
Tm 168.93 Tm.upf
In 114.82 In.upf
Tl 204.38 Tl.upf
CELL_PARAMETERS angstrom
4.7832 0.0000 0.0000
0.0000 4.7832 0.0000
0.0000 0.0000 9.5720
ATOMIC_POSITIONS crystal
Tm 0.5000 0.0000 0.2519
Tm 0.5000 0.5000 0.0000
Tm 0.0000 0.5000 0.7481
Tm 0.0000 0.5000 0.2519
Tm 0.5000 0.0000 0.7481
Tm 0.5000 0.5000 0.5000
In 0.0000 0.0000 0.5000
Tl 0.0000 0.0000 0.0000
```

Computed properties:
electronic total energy	-4.200	eV/atom
crystal system	tetragonal
ΔH_f (0 K)	-0.209	eV/atom

Record 6
VASP calculation (PBE) on an optimized crystal structure of Tm12Tl3In. Values from VASP.

The structure in Quantum ESPRESSO input format:
```
&SYSTEM
  ibrav = 0, nat = 16, ntyp = 3
/
ATOMIC_SPECIES
Tm 168.93 Tm.upf
Tl 204.38 Tl.upf
In 114.82 In.upf
CELL_PARAMETERS angstrom
4.7834 0.0000 0.0000
0.0000 4.7834 0.0000
0.0000 0.0000 19.1902
ATOMIC_POSITIONS crystal
Tm 0.5000 0.0000 0.6252
Tm 0.0000 0.5000 0.8761
Tm 0.5000 0.5000 0.2496
Tm 0.5000 0.0000 0.8761
Tm 0.5000 0.0000 0.1239
Tm 0.5000 0.5000 0.0000
Tm 0.0000 0.5000 0.1239
Tm 0.5000 0.5000 0.7504
Tm 0.0000 0.5000 0.6252
Tm 0.5000 0.0000 0.3748
Tm 0.5000 0.5000 0.5000
Tm 0.0000 0.5000 0.3748
Tl 0.0000 0.0000 0.2496
Tl 0.0000 0.0000 0.7504
Tl 0.0000 0.0000 0.5000
In 0.0000 0.0000 0.0000
```

Computed properties:
electronic total energy	-4.152	eV/atom
crystal system	tetragonal
ΔH_f (0 K)	-0.183	eV/atom